## Nd2TmIn3AgPd2 (PBE)

Data for Nd2TmIn3AgPd2 after structural relaxation.

Structure (POSCAR):
```
Nd2TmIn3AgPd2
1.0
3.8795 0.0000 0.0000
0.0000 6.7965 3.9502
0.0000 -6.7965 3.9502
Nd Tm In Ag Pd
2 1 3 1 2
Cartesian
0.0000 -4.0147 3.9502
0.0000 4.0147 3.9502
0.0000 0.0000 4.8536
1.9397 -1.7794 2.6883
1.9397 1.7794 2.6883
1.9397 0.0000 7.3848
0.0000 0.0000 1.6414
1.9397 -2.2077 5.5530
1.9397 2.2077 5.5530
```

V in Å³/f.u.: 208.3
Magnetic moment in μB/atom: 0.000
ρ in g cm⁻³: 8.95
Final energy in eV per atom: -4.6005

---

## Y2ReGe (PBE)

Data for Y2ReGe after structural relaxation.

Structure (POSCAR):
```
Y2ReGe
1.0
0.0000 3.4236 3.4236
3.4236 0.0000 3.4236
3.4236 3.4236 0.0000
Y Re Ge
2 1 1
Cartesian
0.0000 0.0000 0.0000
1.7118 1.7118 1.7118
5.1355 5.1355 5.1355
3.4236 3.4236 3.4236
```

V in Å³/f.u.: 80.3
Magnetic moment in μB/atom: 0.037
ρ in g cm⁻³: 9.03
Final energy in eV per atom: -7.3663

---

## CsPtAuO3 (PBE)

Data for CsPtAuO3 after structural relaxation.

Structure (POSCAR):
```
CsPtAuO3
1.0
12.4950 0.0000 0.0000
0.0000 3.2737 0.0000
0.0000 0.0000 10.5471
Cs Pt Au O
4 4 4 12
Cartesian
2.9165 0.8184 1.5607
3.3311 2.4553 6.8342
9.1640 0.8184 3.7129
9.5786 2.4553 8.9864
0.1796 0.8184 3.9600
6.0679 2.4553 9.2335
6.4271 0.8184 1.3136
12.3154 2.4553 6.5871
0.3180 0.8184 9.6215
5.9295 2.4553 4.3480
6.5656 0.8184 6.1991
12.1770 2.4553 0.9255
0.8319 2.4553 8.3183
0.9364 0.8184 5.8795
1.2863 2.4553 3.3891
4.9613 0.8184 8.6626
5.3111 2.4553 0.6060
5.4156 0.8184 3.0448
7.0795 2.4553 7.5023
7.1839 0.8184 9.9411
7.5338 2.4553 1.8844
11.2088 0.8184 7.1580
11.5586 2.4553 4.6676
11.6631 0.8184 2.2288
```

V in Å³/f.u.: 107.9
Magnetic moment in μB/atom: 0.000
ρ in g cm⁻³: 8.82
Final energy in eV per atom: -4.8010

---

## ErTlFe (PBE)

Data for ErTlFe after structural relaxation.

Structure (POSCAR):
```
ErTlFe
1.0
0.0000 3.4216 3.4216
3.4216 0.0000 3.4216
3.4216 3.4216 0.0000
Er Tl Fe
1 1 1
Cartesian
0.0000 0.0000 0.0000
1.7108 1.7108 1.7108
5.1324 5.1324 5.1324
```

V in Å³/f.u.: 80.1
Magnetic moment in μB/atom: 0.753
ρ in g cm⁻³: 8.86
Final energy in eV per atom: -4.3077

---

## Tb2PtO4 (PBE)

Data for Tb2PtO4 after structural relaxation.

Structure (POSCAR):
```
Tb2PtO4
1.0
0.0000 4.7637 4.7637
4.7637 0.0000 4.7637
4.7637 4.7637 0.0000
Tb Pt O
4 2 8
Cartesian
0.0000 0.0000 0.0000
2.3819 2.3819 0.0000
2.3819 0.0000 2.3819
0.0000 2.3819 2.3819
3.5728 3.5728 3.5728
5.9546 5.9546 5.9546
7.2526 4.6567 4.6567
2.2749 2.2749 2.2749
4.8707 4.8707 2.2749
4.8707 2.2749 4.8707
4.6567 7.2526 4.6567
4.6567 4.6567 7.2526
7.2526 7.2526 7.2526
2.2749 4.8707 4.8707
```

V in Å³/f.u.: 108.1
Magnetic moment in μB/atom: 0.286
ρ in g cm⁻³: 8.86
Final energy in eV per atom: -7.1392

---

## ScBeFe (PBE)

Data for ScBeFe after structural relaxation.

Structure (POSCAR):
```
ScBeFe
1.0
0.0000 2.9214 2.9214
2.9214 0.0000 2.9214
2.9214 2.9214 0.0000
Sc Be Fe
1 1 1
Cartesian
0.0000 0.0000 0.0000
4.3820 4.3820 4.3820
1.4607 1.4607 1.4607
```

V in Å³/f.u.: 49.9
Magnetic moment in μB/atom: 0.366
ρ in g cm⁻³: 3.66
Relative energy among the computed polymorphs in kcal/mol of atoms: 13.04
Final energy in eV per atom: -5.0924

---

## SrZnCoTe3 (PBE)

Data for SrZnCoTe3 after structural relaxation.

Structure (POSCAR):
```
SrZnCoTe3
1.0
2.1226 -6.7343 0.0000
2.1226 6.7343 0.0000
0.0000 0.0000 11.3637
Sr Zn Co Te
2 2 2 6
Cartesian
2.1226 3.4317 8.5228
2.1226 -3.4317 2.8409
0.0000 0.0000 0.0000
0.0000 0.0000 5.6819
2.1226 0.5595 2.8409
2.1226 -0.5595 8.5228
2.1226 5.9519 2.8409
2.1226 1.8582 0.6308
2.1226 1.8582 5.0510
2.1226 -1.8582 6.3127
2.1226 -1.8582 10.7329
2.1226 -5.9519 8.5228
```

V in Å³/f.u.: 162.4
Magnetic moment in μB/atom: 0.359
ρ in g cm⁻³: 6.08
Relative energy among the computed polymorphs in kcal/mol of atoms: 0.00
Final energy in eV per atom: -3.7203

---

## InCuBi2 (PBE)

Data for InCuBi2 after structural relaxation.

Structure (POSCAR):
```
InCuBi2
1.0
0.0000 3.7514 3.7514
3.7514 0.0000 3.7514
3.7514 3.7514 0.0000
In Cu Bi
1 1 2
Cartesian
0.0000 0.0000 0.0000
5.6271 5.6271 5.6271
1.8757 1.8757 1.8757
3.7514 3.7514 3.7514
```

V in Å³/f.u.: 105.6
ρ in g cm⁻³: 9.38
Final energy in eV per atom: -3.3223

---

## NdIn2Si2 (PBE)

Data for NdIn2Si2 after structural relaxation.

Structure (POSCAR):
```
NdIn2Si2
1.0
7.6469 0.0000 0.0000
0.0000 7.6469 0.0000
0.0000 0.0000 3.9303
Nd In Si
2 4 4
Cartesian
0.0000 0.0000 0.0000
3.8234 3.8234 0.0000
1.3033 2.5201 1.9652
2.5201 6.3436 1.9652
5.1268 1.3033 1.9652
6.3436 5.1268 1.9652
0.8604 4.6838 0.0000
2.9631 0.8604 0.0000
4.6838 6.7865 0.0000
6.7865 2.9631 0.0000
```

V in Å³/f.u.: 114.9
Magnetic moment in μB/atom: 0.001
ρ in g cm⁻³: 6.21
Final energy in eV per atom: -4.3216

---

## LaSi2TcNi (PBE)

Data for LaSi2TcNi after structural relaxation.

Structure (POSCAR):
```
LaSi2TcNi
1.0
-2.0626 2.0626 5.0890
2.0626 -2.0626 5.0890
2.0626 2.0626 -5.0890
La Si Tc Ni
1 2 1 1
Cartesian
0.0000 0.0000 0.0000
0.0000 0.0000 3.7555
0.0000 0.0000 6.4225
0.0000 2.0626 2.5445
2.0626 0.0000 2.5445
```

V in Å³/f.u.: 86.6
Magnetic moment in μB/atom: 0.000
ρ in g cm⁻³: 6.75
Final energy in eV per atom: -7.0506

---

## LiMg2Cu (PBE)

Data for LiMg2Cu after structural relaxation.

Structure (POSCAR):
```
LiMg2Cu
1.0
3.1869 0.0000 0.0000
0.0000 3.1869 0.0000
0.0000 0.0000 6.8321
Li Mg Cu
1 2 1
Cartesian
0.0000 0.0000 0.0000
1.5934 1.5934 1.8904
1.5934 1.5934 4.9416
0.0000 0.0000 3.4160
```

V in Å³/f.u.: 69.4
ρ in g cm⁻³: 2.85
Final energy in eV per atom: -2.2645

---

## AgPbSeO (PBE)

Data for AgPbSeO after structural relaxation.

Structure (POSCAR):
```
AgPbSeO
1.0
1.8760 -6.9466 0.0000
1.8760 6.9466 0.0000
0.0000 0.0000 6.1603
Ag Pb Se O
2 2 2 2
Cartesian
1.8760 5.9046 4.6202
1.8760 -5.9046 1.5401
1.8760 1.7294 4.6202
1.8760 -1.7294 1.5401
1.8760 2.9054 1.5401
1.8760 -2.9054 4.6202
1.8760 0.0000 0.0000
1.8760 0.0000 3.0801
```

V in Å³/f.u.: 80.3
ρ in g cm⁻³: 8.48
Relative energy among the computed polymorphs in kcal/mol of atoms: 5.61
Final energy in eV per atom: -3.9427